Entry 1:
Below is crystalline KNdZrTiO6 at its relaxed geometry, with properties calculated at the PBE level.

Results
Volume   13.24 A^3/atom
D(E_F)   0.00 states/eV per cell
Magnetic moment   0.00 μB/cell
SG   F-43m
Final energy   -8.1395 eV per atom
Energy relative to the elements, uncorrected   -2.9338 eV per atom

```
data_KNdZrTiO6
_symmetry_space_group_name_H-M 'P 1'
_symmetry_Int_Tables_number 1
_cell_length_a 5.720
_cell_length_b 5.720
_cell_length_c 5.720
_cell_angle_alpha 60.00
_cell_angle_beta 60.00
_cell_angle_gamma 60.00
loop_
_symmetry_equiv_pos_as_xyz
'x,y,z'
loop_
_atom_site_label
_atom_site_type_symbol
_atom_site_fract_x
_atom_site_fract_y
_atom_site_fract_z
_atom_site_occupancy
O1 O 0.242 0.242 0.758 1
O2 O 0.758 0.242 0.758 1
O3 O 0.242 0.758 0.758 1
O4 O 0.758 0.242 0.242 1
O5 O 0.758 0.758 0.242 1
O6 O 0.242 0.758 0.242 1
Nd1 Nd 0.250 0.250 0.250 1
Ti1 Ti 0.000 0.000 0.000 1
K1 K 0.750 0.750 0.750 1
Zr1 Zr 0.500 0.500 0.500 1
```

Entry 2:
Below is crystalline RbHS3 at its relaxed geometry, with properties calculated at the PBE level.

Results
Volume   26.83 A^3/atom
D(E_F)   0.00 states/eV per cell
Magnetic moment   0.00 μB/cell
SG   P2_1
Final energy   -3.7890 eV per atom

```
data_RbHS3
_symmetry_space_group_name_H-M 'P 1'
_symmetry_Int_Tables_number 1
_cell_length_a 8.054
_cell_length_b 6.708
_cell_length_c 7.113
_cell_angle_alpha 135.72
_cell_angle_beta 90.00
_cell_angle_gamma 90.00
loop_
_symmetry_equiv_pos_as_xyz
'x,y,z'
loop_
_atom_site_label
_atom_site_type_symbol
_atom_site_fract_x
_atom_site_fract_y
_atom_site_fract_z
_atom_site_occupancy
S1 S 0.111 0.610 0.757 1
S2 S 0.429 0.462 0.176 1
S3 S 0.343 0.851 0.333 1
S4 S 0.929 0.439 0.471 1
S5 S 0.843 0.050 0.314 1
S6 S 0.611 0.292 0.890 1
Rb1 Rb 0.037 0.196 0.859 1
Rb2 Rb 0.537 0.705 0.788 1
H1 H 0.958 0.866 0.093 1
H2 H 0.458 0.036 0.554 1
```

Entry 3:
Below is crystalline Ti2NbReH at its relaxed geometry, with properties calculated at the PBE level.

Results
Volume   13.63 A^3/atom
D(E_F)   6.67 states/eV per cell
Magnetic moment   0.00 μB/cell
SG   P4/mmm
Final energy   -8.4262 eV per atom

```
data_Ti2NbReH
_symmetry_space_group_name_H-M 'P 1'
_symmetry_Int_Tables_number 1
_cell_length_a 4.445
_cell_length_b 4.445
_cell_length_c 3.449
_cell_angle_alpha 90.00
_cell_angle_beta 90.00
_cell_angle_gamma 90.00
loop_
_symmetry_equiv_pos_as_xyz
'x,y,z'
loop_
_atom_site_label
_atom_site_type_symbol
_atom_site_fract_x
_atom_site_fract_y
_atom_site_fract_z
_atom_site_occupancy
H1 H 0.000 0.000 0.000 1
Nb1 Nb 0.500 0.500 0.500 1
Ti1 Ti 0.000 0.500 0.000 1
Ti2 Ti 0.500 0.000 0.000 1
Re1 Re 0.000 0.000 0.500 1
```

Entry 4:
Below is crystalline K2Pu3PtO12 at its relaxed geometry, with properties calculated at the PBE level.

Results
Volume   17.55 A^3/atom
D(E_F)   7.26 states/eV per cell
Magnetic moment   6.00 μB/cell
SG   R-3m
Final energy   -8.2426 eV per atom
Energy relative to the elements, uncorrected   -2.0910 eV per atom

```
data_K2Pu3PtO12
_symmetry_space_group_name_H-M 'P 1'
_symmetry_Int_Tables_number 1
_cell_length_a 7.483
_cell_length_b 7.483
_cell_length_c 7.483
_cell_angle_alpha 62.97
_cell_angle_beta 62.97
_cell_angle_gamma 62.97
loop_
_symmetry_equiv_pos_as_xyz
'x,y,z'
loop_
_atom_site_label
_atom_site_type_symbol
_atom_site_fract_x
_atom_site_fract_y
_atom_site_fract_z
_atom_site_occupancy
K1 K 0.642 0.642 0.642 1
K2 K 0.358 0.358 0.358 1
O1 O 0.680 0.060 0.680 1
O2 O 0.933 0.312 0.933 1
O3 O 0.933 0.933 0.312 1
O4 O 0.067 0.688 0.067 1
O5 O 0.067 0.067 0.688 1
O6 O 0.320 0.940 0.320 1
O7 O 0.680 0.680 0.060 1
O8 O 0.320 0.320 0.940 1
O9 O 0.060 0.680 0.680 1
O10 O 0.312 0.933 0.933 1
O11 O 0.940 0.320 0.320 1
O12 O 0.688 0.067 0.067 1
Pu1 Pu 0.000 0.000 0.500 1
Pu2 Pu 0.000 0.500 0.000 1
Pu3 Pu 0.500 0.000 0.000 1
Pt1 Pt 0.000 0.000 0.000 1
```

Question: The lowest final energy belongs to which entry?
Answer: Ti2NbReH